Entry 1:
GGA-PBE Lu2Nb4Cu3N3, relaxed; crystal system = monoclinic; space group = C2/c, No. 15
1.0
4.743 -2.736 0.000
4.743 2.736 0.000
-3.173 0.000 13.421
Cu Lu N Nb
6 4 6 8
direct
0.415 0.101 0.249
0.930 0.070 0.250
0.899 0.585 0.251
0.101 0.415 0.749
0.070 0.930 0.750
0.585 0.899 0.751
0.377 0.540 0.118
0.460 0.623 0.382
0.540 0.377 0.618
0.623 0.460 0.882
0.659 0.182 0.000
0.000 0.500 0.000
0.341 0.818 0.000
0.182 0.659 0.500
0.500 0.000 0.500
0.818 0.341 0.500
0.693 0.859 0.083
0.023 0.197 0.083
0.803 0.977 0.417
0.141 0.307 0.417
0.859 0.693 0.583
0.197 0.023 0.583
0.977 0.803 0.917
0.307 0.141 0.917



Entry 2:
GGA-PBE Lu2Sc4Cu3N3, relaxed; crystal system = monoclinic; space group = C2/c, No. 15
1.0
5.537 0.000 0.000
2.768 4.803 0.000
2.768 -1.514 13.855
Cu Lu N Sc
6 4 6 8
direct
0.164 0.733 0.250
0.679 0.250 0.250
0.647 0.767 0.250
0.353 0.233 0.750
0.321 0.750 0.750
0.836 0.267 0.750
0.263 0.198 0.111
0.073 0.302 0.389
0.927 0.698 0.611
0.737 0.802 0.889
0.665 0.166 0.000
0.000 0.500 0.000
0.335 0.834 0.000
0.331 0.334 0.500
0.000 0.000 0.500
0.669 0.666 0.500
0.939 0.861 0.085
0.610 0.532 0.085
0.727 0.968 0.415
0.385 0.639 0.415
0.615 0.361 0.585
0.273 0.032 0.585
0.390 0.468 0.915
0.061 0.139 0.915



Entry 3:
GGA-PBE Lu4Ta2Cu3N3, relaxed; crystal system = monoclinic; space group = C2/c, No. 15
1.0
0.065 4.670 -3.249
-1.212 5.072 2.274
13.382 -1.452 3.198
Cu Lu N Ta
6 8 6 4
direct
0.657 0.595 0.249
0.158 0.842 0.250
0.405 0.343 0.251
0.595 0.657 0.749
0.842 0.158 0.750
0.343 0.405 0.751
0.699 0.879 0.106
0.040 0.197 0.106
0.803 0.960 0.394
0.121 0.301 0.394
0.879 0.699 0.606
0.197 0.040 0.606
0.960 0.803 0.894
0.301 0.121 0.894
0.000 0.500 0.000
0.665 0.172 0.000
0.828 0.335 0.500
0.500 0.000 0.500
0.172 0.665 0.500
0.335 0.828 0.000
0.351 0.526 0.075
0.474 0.649 0.425
0.526 0.351 0.575
0.649 0.474 0.925



Entry 4:
GGA-PBE Lu2Cu3W4N3, relaxed; crystal system = monoclinic; space group = C2/c, No. 15
1.0
4.675 -2.724 0.000
4.675 2.724 0.000
-3.067 0.000 12.942
Cu Lu N W
6 4 6 8
direct
0.584 0.897 0.250
0.064 0.936 0.250
0.103 0.416 0.250
0.897 0.584 0.750
0.936 0.064 0.750
0.416 0.103 0.750
0.539 0.379 0.120
0.621 0.461 0.380
0.379 0.539 0.620
0.461 0.621 0.880
0.500 0.000 0.000
0.800 0.350 0.000
0.650 0.200 0.500
0.000 0.500 0.500
0.350 0.800 0.500
0.200 0.650 0.000
0.185 0.036 0.078
0.867 0.695 0.079
0.305 0.133 0.421
0.964 0.815 0.422
0.036 0.185 0.578
0.695 0.867 0.579
0.133 0.305 0.921
0.815 0.964 0.922



Entry 5:
GGA-PBE Lu4Cu3W2N3, relaxed; crystal system = monoclinic; space group = C2/c, No. 15
1.0
4.881 -2.841 0.000
4.881 2.841 0.000
-3.390 0.000 13.248
Cu Lu N W
6 8 6 4
direct
0.587 0.659 0.248
0.834 0.166 0.250
0.341 0.413 0.252
0.659 0.587 0.748
0.166 0.834 0.750
0.413 0.341 0.752
0.881 0.699 0.107
0.197 0.042 0.108
0.958 0.803 0.392
0.301 0.119 0.393
0.699 0.881 0.607
0.042 0.197 0.608
0.803 0.958 0.892
0.119 0.301 0.893
0.500 0.000 0.000
0.164 0.669 0.000
0.331 0.836 0.500
0.000 0.500 0.500
0.669 0.164 0.500
0.836 0.331 0.000
0.525 0.352 0.069
0.648 0.475 0.431
0.352 0.525 0.569
0.475 0.648 0.931



Entry 6:
GGA-PBE Y4Lu2Cu3N3, relaxed; crystal system = monoclinic; space group = C2/c, No. 15
1.0
-4.779 3.188 -1.687
-4.811 -2.756 -2.261
-2.167 -1.358 14.187
Cu Lu N Y
6 4 6 8
direct
0.589 0.668 0.249
0.837 0.163 0.250
0.332 0.411 0.251
0.668 0.589 0.749
0.163 0.837 0.750
0.411 0.332 0.751
0.527 0.354 0.082
0.646 0.473 0.418
0.354 0.527 0.582
0.473 0.646 0.918
0.500 0.000 0.000
0.168 0.666 0.000
0.334 0.832 0.500
0.000 0.500 0.500
0.666 0.168 0.500
0.832 0.334 0.000
0.196 0.041 0.105
0.875 0.701 0.105
0.299 0.125 0.395
0.959 0.804 0.395
0.041 0.196 0.605
0.701 0.875 0.605
0.125 0.299 0.895
0.804 0.959 0.895



Entry 7:
GGA-PBE Y2Lu4Cu3N3, relaxed; crystal system = monoclinic; space group = C2/c, No. 15
1.0
5.030 -2.900 0.000
5.030 2.900 0.000
-3.485 0.000 14.307
Cu Lu N Y
6 8 6 4
direct
0.414 0.102 0.250
0.928 0.072 0.250
0.898 0.586 0.250
0.102 0.414 0.750
0.072 0.928 0.750
0.586 0.898 0.750
0.025 0.203 0.089
0.696 0.859 0.089
0.141 0.304 0.411
0.797 0.975 0.411
0.203 0.025 0.589
0.859 0.696 0.589
0.304 0.141 0.911
0.975 0.797 0.911
0.000 0.500 0.000
0.669 0.162 0.000
0.838 0.331 0.500
0.500 0.000 0.500
0.162 0.669 0.500
0.331 0.838 0.000
0.374 0.539 0.112
0.461 0.626 0.388
0.539 0.374 0.612
0.626 0.461 0.888



Entry 8:
GGA-PBE NaLuCuTe3, relaxed; crystal system = orthorhombic; space group = Cmcm, No. 63
1.0
2.051 -7.411 0.000
2.051 7.411 0.000
0.000 0.000 11.073
Cu Lu Na Te
2 2 2 6
direct
0.528 0.472 0.250
0.472 0.528 0.750
0.000 0.000 0.000
0.000 0.000 0.500
0.242 0.758 0.250
0.758 0.242 0.750
0.639 0.361 0.066
0.916 0.084 0.250
0.639 0.361 0.434
0.361 0.639 0.566
0.084 0.916 0.750
0.361 0.639 0.934



Entry 9:
GGA-PBE NaLuCuTe3, relaxed; crystal system = monoclinic; space group = P2_1/m, No. 11
1.0
8.719 0.000 0.000
0.000 4.094 0.000
-3.287 0.000 9.738
Cu Lu Na Te
2 2 2 6
direct
0.078 0.250 0.093
0.922 0.750 0.907
0.318 0.750 0.345
0.682 0.250 0.655
0.773 0.750 0.222
0.227 0.250 0.778
0.237 0.750 0.035
0.572 0.250 0.345
0.071 0.250 0.347
0.929 0.750 0.653
0.428 0.750 0.655
0.763 0.250 0.965



Entry 10:
GGA-PBE NaLuCuTe3, relaxed; crystal system = orthorhombic; space group = Pnma, No. 62
1.0
11.092 0.000 0.000
0.000 4.087 0.000
0.000 0.000 14.795
Cu Lu Na Te
4 4 4 12
direct
0.764 0.250 0.220
0.264 0.250 0.280
0.736 0.750 0.720
0.236 0.750 0.780
0.520 0.750 0.246
0.020 0.750 0.254
0.980 0.250 0.746
0.480 0.250 0.754
0.776 0.750 0.008
0.276 0.750 0.492
0.724 0.250 0.508
0.224 0.250 0.992
0.584 0.250 0.106
0.954 0.250 0.115
0.268 0.750 0.167
0.768 0.750 0.333
0.454 0.250 0.385
0.084 0.250 0.394
0.916 0.750 0.606
0.546 0.750 0.615
0.232 0.250 0.667
0.732 0.250 0.833
0.046 0.750 0.885
0.416 0.750 0.894



Entry 11:
GGA-PBE LuNbCuPb, relaxed; crystal system = cubic; space group = F-43m, No. 216
1.0
0.000 3.479 3.479
3.479 0.000 3.479
3.479 3.479 0.000
Cu Lu Nb Pb
1 1 1 1
direct
0.750 0.750 0.750
0.500 0.500 0.500
0.250 0.250 0.250
0.000 0.000 0.000



Entry 12:
GGA-PBE LuNbCuSb, relaxed; crystal system = cubic; space group = F-43m, No. 216
1.0
0.000 3.391 3.391
3.391 0.000 3.391
3.391 3.391 0.000
Cu Lu Nb Sb
1 1 1 1
direct
0.750 0.750 0.750
0.500 0.500 0.500
0.250 0.250 0.250
0.000 0.000 0.000



| no. | E (eV per atom) |
| --- | --- |
| 1 | -7.810 |
| 2 | -6.825 |
| 3 | -7.272 |
| 4 | -8.420 |
| 5 | -7.326 |
| 6 | -6.743 |
| 7 | -6.455 |
| 8 | -3.981 |
| 9 | -3.983 |
| 10 | -3.979 |
| 11 | -5.082 |
| 12 | -5.416 |